## PrCdInPt (GGA-PBE)

Data for a geometry-optimized PrCdInPt structure.

Its formation energy is -13.055 kcal/mol of atoms. Its calculated density is 10.3 g cm⁻³. The crystal system is cubic. Its total energy is -4.185 eV per atom.

The space group is F-43m (No. 216) and the conventional cell measures 7.136, 7.136 and 7.136 Å, with angles of 90.00, 90.00 and 90.00 degrees. The distinct sites, in fractional coordinates, are Pr at (0.000, 0.000, 0.000), Cd at (0.250, 0.250, 0.750), In at (0.000, 0.000, 0.500) and Pt at (0.250, 0.250, 0.250).


## PrCdInPt3 (GGA-PBE)

Data for a geometry-optimized PrCdInPt3 structure.

Its formation energy is -10.008 kcal/mol of atoms. Its calculated density is 12.1 g cm⁻³. The crystal system is orthorhombic. Its total energy is -4.860 eV per atom.

The space group is Cmcm (No. 63) and the conventional cell measures 5.921, 13.137 and 6.755 Å, with angles of 90.00, 90.00 and 90.00 degrees. The distinct sites, in fractional coordinates, are Pr at (0.000, 0.152, 0.250), Cd at (0.000, 0.388, 0.250), In at (0.000, 0.139, 0.750), Pt at (0.000, 0.346, 0.750) and Pt at (0.242, 0.000, 0.000).


## PrCdInRh (GGA-PBE)

Data for a geometry-optimized PrCdInRh structure.

Its formation energy is -7.840 kcal/mol of atoms. Its calculated density is 8.8 g cm⁻³. The crystal system is cubic. Its total energy is -4.286 eV per atom.

The space group is F-43m (No. 216) and the conventional cell measures 7.094, 7.094 and 7.094 Å, with angles of 90.00, 90.00 and 90.00 degrees. The distinct sites, in fractional coordinates, are Pr at (0.000, 0.000, 0.000), Cd at (0.250, 0.250, 0.750), In at (0.000, 0.000, 0.500) and Rh at (0.250, 0.250, 0.250).


## PrScCdIn (GGA-PBE)

Data for a geometry-optimized PrScCdIn structure.

Its formation energy is -8.499 kcal/mol of atoms. Its calculated density is 6.6 g cm⁻³. The crystal system is cubic. Its total energy is -4.060 eV per atom.

The space group is F-43m (No. 216) and the conventional cell measures 7.466, 7.466 and 7.466 Å, with angles of 90.00, 90.00 and 90.00 degrees. The distinct sites, in fractional coordinates, are Pr at (0.000, 0.000, 0.000), Sc at (0.000, 0.000, 0.500), Cd at (0.250, 0.250, 0.750) and In at (0.250, 0.250, 0.250).


## Pr2SmCd2In2 (GGA-PBE)

Data for a geometry-optimized Pr2SmCd2In2 structure.

Its formation energy is -6.859 kcal/mol of atoms. Its calculated density is 7.3 g cm⁻³. The crystal system is trigonal. Its total energy is -3.381 eV per atom.

The space group is R-3m (No. 166, hexagonal axes) and the conventional cell measures 4.9966, 4.9966 and 27.8218 Å, with angles of 90.00, 90.00 and 120.00 degrees. The distinct sites, in fractional coordinates, are Pr at (0.0000, 0.0000, 0.1282), Sm at (0.0000, 0.0000, 0.0000), Cd at (0.0000, 0.0000, 0.3956) and In at (0.0000, 0.0000, 0.2636).


## PrCdInSn (GGA-PBE)

Data for a geometry-optimized PrCdInSn structure.

Its formation energy is -5.429 kcal/mol of atoms. Its calculated density is 7.4 g cm⁻³. The crystal system is cubic. Its total energy is -3.344 eV per atom. The relative energy among the computed polymorphs is 23.7 kJ/mol of atoms.

The space group is F-43m (No. 216) and the conventional cell measures 7.595, 7.595 and 7.595 Å, with angles of 90.00, 90.00 and 90.00 degrees. The distinct sites, in fractional coordinates, are Pr at (0.000, 0.000, 0.000), Cd at (0.250, 0.250, 0.750), In at (0.000, 0.000, 0.500) and Sn at (0.250, 0.250, 0.250).


## PrCd2InSn (GGA-PBE)

Data for a geometry-optimized PrCd2InSn structure.

Its formation energy is -7.233 kcal/mol of atoms. Its calculated density is 7.6 g cm⁻³. The crystal system is orthorhombic. Its total energy is -2.984 eV per atom.

The space group is Cmcm (No. 63) and the conventional cell measures 4.727, 11.718 and 9.412 Å, with angles of 90.00, 90.00 and 90.00 degrees. The distinct sites, in fractional coordinates, are Pr at (0.000, 0.056, 0.250), Cd at (0.000, 0.241, 0.589), In at (0.000, 0.339, 0.250) and Sn at (0.000, 0.500, 0.000).


## PrCdInSn (GGA-PBE)

Data for a geometry-optimized PrCdInSn structure.

Its formation energy is -11.104 kcal/mol of atoms. Its calculated density is 7.7 g cm⁻³. The crystal system is orthorhombic. Its total energy is -3.590 eV per atom. The relative energy among the computed polymorphs is 0.0 kJ/mol of atoms.

The space group is Pmmm (No. 47) and the conventional cell measures 4.600, 4.703 and 4.870 Å, with angles of 90.00, 90.00 and 90.00 degrees. The distinct sites, in fractional coordinates, are Pr at (0.000, 0.000, 0.000), Cd at (0.000, 0.500, 0.500), In at (0.500, 0.000, 0.500) and Sn at (0.500, 0.500, 0.000).


## SrPr2Cd2In2 (GGA-PBE)

Data for a geometry-optimized SrPr2Cd2In2 structure.

Its formation energy is -7.451 kcal/mol of atoms. Its calculated density is 6.3 g cm⁻³. The crystal system is trigonal. Its total energy is -2.973 eV per atom.

The space group is R-3m (No. 166, hexagonal axes) and the conventional cell measures 5.0319, 5.0319 and 29.7999 Å, with angles of 90.00, 90.00 and 120.00 degrees. The distinct sites, in fractional coordinates, are Sr at (0.0000, 0.0000, 0.0000), Pr at (0.0000, 0.0000, 0.1298), Cd at (0.0000, 0.0000, 0.4089) and In at (0.0000, 0.0000, 0.2537).


## TbPrCdIn (GGA-PBE)

Data for a geometry-optimized TbPrCdIn structure.

Its formation energy is -9.411 kcal/mol of atoms. Its calculated density is 7.8 g cm⁻³. The crystal system is cubic. Its total energy is -3.674 eV per atom.

The space group is F-43m (No. 216) and the conventional cell measures 7.670, 7.670 and 7.670 Å, with angles of 90.00, 90.00 and 90.00 degrees. The distinct sites, in fractional coordinates, are Tb at (0.000, 0.000, 0.000), Pr at (0.000, 0.000, 0.500), Cd at (0.250, 0.250, 0.250) and In at (0.250, 0.250, 0.750).


## Pr2ThCd2In2 (GGA-PBE)

Data for a geometry-optimized Pr2ThCd2In2 structure.

Its formation energy is -4.839 kcal/mol of atoms. Its calculated density is 8.0 g cm⁻³. The crystal system is trigonal. Its total energy is -3.679 eV per atom.

The space group is R-3m (No. 166, hexagonal axes) and the conventional cell measures 5.0392, 5.0392 and 27.5464 Å, with angles of 90.00, 90.00 and 120.00 degrees. The distinct sites, in fractional coordinates, are Pr at (0.0000, 0.0000, 0.1281), Th at (0.0000, 0.0000, 0.0000), Cd at (0.0000, 0.0000, 0.3997) and In at (0.0000, 0.0000, 0.2657).


## PrThCdIn (GGA-PBE)

Data for a geometry-optimized PrThCdIn structure.

Its formation energy is -6.198 kcal/mol of atoms. Its calculated density is 8.6 g cm⁻³. The crystal system is cubic. Its total energy is -4.232 eV per atom.

The space group is F-43m (No. 216) and the conventional cell measures 7.753, 7.753 and 7.753 Å, with angles of 90.00, 90.00 and 90.00 degrees. The distinct sites, in fractional coordinates, are Pr at (0.000, 0.000, 0.000), Th at (0.000, 0.000, 0.500), Cd at (0.250, 0.250, 0.250) and In at (0.250, 0.250, 0.750).


> Which value of calculated density does entry 6 give?

7.4 g cm⁻³